No. 1
## TmPaPt2 (PBE)

Data for a geometry-optimized TmPaPt2 structure.

a b c (Å): 6.9854 6.9854 6.9854
angles (deg): 90.00 90.00 90.00
Last column: nearest neighbours and their distance in Å.
Space group Fm-3m (No. 225)
Asymmetric unit:
Tm 0.0000 0.0000 0.0000  8 Pt 3.02
Pa 0.0000 0.0000 0.5000  8 Pt 3.02
Pt 0.2500 0.2500 0.2500  4 Pa 3.02, 4 Tm 3.02

- Polymorph energy (0 for the lowest one): 0.1899 eV per atom
- DFT formation energy: -980 meV/atom
- D(E_F): 22.413 states/eV per cell



No. 2
## TmPaPt (PBE)

Data for a geometry-optimized TmPaPt structure.

a b c (Å): 4.7731 4.7731 3.4782
angles (deg): 90.00 90.00 120.00
Last column: nearest neighbours and their distance in Å.
Space group P3m1 (No. 156)
Asymmetric unit:
Tm 0.0000 0.0000 0.0000  3 Pt 2.98, 3 Pa 3.10
Pa 0.6667 0.3333 0.4055  3 Pt 2.91, 3 Tm 3.10
Pt 0.3333 0.6667 0.6703  3 Pa 2.91, 3 Tm 2.98

- Polymorph energy (0 for the lowest one): 0.0680 eV per atom
- DFT formation energy: -359 meV/atom
- D(E_F): 3.975 states/eV per cell



No. 3
## TmPa2Pt9 (PBE)

Data for a geometry-optimized TmPa2Pt9 structure.

a b c (Å): 4.1574 4.1574 12.4046
angles (deg): 90.00 90.00 90.00
Last column: nearest neighbours and their distance in Å.
Space group P4/mmm (No. 123)
Asymmetric unit:
Tm 0.0000 0.0000 0.0000  12 Pt 2.93-2.94
Pa 0.0000 0.0000 0.3298  12 Pt 2.91-2.96
Pt 0.0000 0.5000 0.1659  2 Pa 2.91, 8 Pt 2.92-2.94, 2 Tm 2.93
Pt 0.0000 0.5000 0.5000  8 Pt 2.94-2.95, 4 Pa 2.96
Pt 0.5000 0.5000 0.0000  8 Pt 2.93, 4 Tm 2.94
Pt 0.5000 0.5000 0.3316  8 Pt 2.92-2.95, 4 Pa 2.94

- DFT formation energy: -1034 meV/atom
- D(E_F): 8.267 states/eV per cell



No. 4
## TmPaPt6 (PBE)

Data for a geometry-optimized TmPaPt6 structure.

a b c (Å): 4.1375 4.1375 8.2358
angles (deg): 90.00 90.00 90.00
Last column: nearest neighbours and their distance in Å.
Space group P4/mmm (No. 123)
Asymmetric unit:
Tm 0.0000 0.0000 0.0000  12 Pt 2.93
Pa 0.0000 0.0000 0.5000  12 Pt 2.91-2.93
Pt 0.0000 0.5000 0.2517  2 Pa 2.91, 8 Pt 2.91-2.93, 2 Tm 2.93
Pt 0.5000 0.5000 0.0000  4 Tm 2.93, 8 Pt 2.93
Pt 0.5000 0.5000 0.5000  8 Pt 2.91, 4 Pa 2.93

- DFT formation energy: -1105 meV/atom
- D(E_F): 1.746 states/eV per cell



No. 5
## TmPaPt2 (PBE)

Data for a geometry-optimized TmPaPt2 structure.

a b c (Å): 3.9688 3.9688 20.7853
angles (deg): 90.00 90.00 120.00
Last column: nearest neighbours and their distance in Å.
Space group R3m (No. 160, hexagonal axes)
Asymmetric unit:
Tm 0.0000 0.0000 0.0000  6 Pt 2.86-2.94
Pa 0.0000 0.0000 0.8284  6 Pt 2.83-2.87
Pt 0.0000 0.0000 0.2446  3 Pa 2.87, 3 Tm 2.94
Pt 0.0000 0.0000 0.4153  3 Pa 2.83, 3 Tm 2.86

- Polymorph energy (0 for the lowest one): 0.1230 eV per atom
- DFT formation energy: -1046 meV/atom
- D(E_F): 9.353 states/eV per cell



No. 6
## TmPaPt2 (PBE)

Data for a geometry-optimized TmPaPt2 structure.

a b c (Å): 4.4651 3.6724 10.6740
angles (deg): 90.00 90.00 90.00
Last column: nearest neighbours and their distance in Å.
Space group Amm2 (No. 38)
Asymmetric unit:
Tm 0.0000 0.0000 0.0000  7 Pt 2.83-3.11
Pa 0.5000 0.0000 0.2754  7 Pt 2.90-3.05
Pt 0.0000 0.0000 0.7352  3 Tm 2.83-3.11, 4 Pa 2.92, 2 Pt 3.00
Pt 0.5000 0.0000 0.5470  3 Pa 2.90-3.05, 4 Tm 2.93, 2 Pt 3.00

- Polymorph energy (0 for the lowest one): 0.0000 eV per atom
- DFT formation energy: -1170 meV/atom
- D(E_F): 7.318 states/eV per cell



No. 7
## TmPaPt3 (PBE)

Data for a geometry-optimized TmPaPt3 structure.

a b c (Å): 4.1878 5.6580 8.9470
angles (deg): 90.00 90.00 90.00
Last column: nearest neighbours and their distance in Å.
Space group Pmmn (No. 59, origin choice 2)
Asymmetric unit:
Tm 0.2500 0.2500 0.0550  7 Pt 2.85-2.97
Pa 0.2500 0.7500 0.3904  8 Pt 2.83-2.95
Pt 0.2500 0.2500 0.3872  4 Pa 2.83-2.89, 4 Pt 2.93, 1 Tm 2.97
Pt 0.2500 0.5022 0.7788  4 Pt 2.80-2.93, 3 Tm 2.85-2.93, 2 Pa 2.95

- DFT formation energy: -1144 meV/atom
- D(E_F): 5.339 states/eV per cell



No. 8
## TmPaPt2 (PBE)

Data for a geometry-optimized TmPaPt2 structure.

a b c (Å): 3.9754 3.9754 20.5717
angles (deg): 90.00 90.00 120.00
Last column: nearest neighbours and their distance in Å.
Space group R-3m (No. 166, hexagonal axes)
Asymmetric unit:
Tm 0.0000 0.0000 0.0000  6 Pt 2.90
Pa 0.0000 0.0000 0.5000  6 Pt 2.83
Pt 0.0000 0.0000 0.2469  3 Pa 2.83, 3 Tm 2.90

- Polymorph energy (0 for the lowest one): 0.1034 eV per atom
- DFT formation energy: -1066 meV/atom
- D(E_F): 8.859 states/eV per cell



No. 9
## TmPaPt (PBE)

Data for a geometry-optimized TmPaPt structure.

a b c (Å): 6.8290 6.8290 6.8290
angles (deg): 90.00 90.00 90.00
Last column: nearest neighbours and their distance in Å.
Space group F-43m (No. 216)
Asymmetric unit:
Tm 0.0000 0.0000 0.0000  4 Pt 2.96
Pa 0.0000 0.0000 0.5000  4 Pt 2.96
Pt 0.2500 0.2500 0.2500  4 Pa 2.96, 4 Tm 2.96

- Polymorph energy (0 for the lowest one): 0.0000 eV per atom
- DFT formation energy: -427 meV/atom
- D(E_F): 26.411 states/eV per cell



No. 10
## TmPaZnPt (PBE)

Data for a geometry-optimized TmPaZnPt structure.

a b c (Å): 7.0178 7.0178 7.0178
angles (deg): 90.00 90.00 90.00
Last column: nearest neighbours and their distance in Å.
Space group F-43m (No. 216)
Asymmetric unit:
Tm 0.0000 0.0000 0.0000  4 Pt 3.04, 4 Zn 3.04
Pa 0.0000 0.0000 0.5000  4 Pt 3.04, 4 Zn 3.04
Zn 0.2500 0.2500 0.7500  4 Pa 3.04, 4 Tm 3.04
Pt 0.2500 0.2500 0.2500  4 Pa 3.04, 4 Tm 3.04

- DFT formation energy: -511 meV/atom
- D(E_F): 16.802 states/eV per cell



No. 11
## U2PaPt (PBE)

Data for a geometry-optimized U2PaPt structure.

a b c (Å): 6.8878 6.8878 6.8878
angles (deg): 90.00 90.00 90.00
Last column: nearest neighbours and their distance in Å.
Space group Fm-3m (No. 225)
Asymmetric unit:
U 0.2500 0.2500 0.2500  4 Pa 2.98, 4 Pt 2.98
Pa 0.0000 0.0000 0.0000  8 U 2.98
Pt 0.0000 0.0000 0.5000  8 U 2.98

- DFT formation energy: -153 meV/atom
- D(E_F): 50.660 states/eV per cell



No. 12
## UPa2Pt (PBE)

Data for a geometry-optimized UPa2Pt structure.

a b c (Å): 3.5740 3.5740 6.8000
angles (deg): 90.00 90.00 90.00
Last column: nearest neighbours and their distance in Å.
Space group P4/mmm (No. 123)
Asymmetric unit:
U 0.0000 0.0000 0.0000  8 Pa 3.03
Pa 0.5000 0.5000 0.2456  4 U 3.03, 4 Pt 3.06, 1 Pa 3.34
Pt 0.0000 0.0000 0.5000  8 Pa 3.06, 2 U 3.40

- Polymorph energy (0 for the lowest one): 0.1222 eV per atom
- DFT formation energy: -305 meV/atom
- D(E_F): 8.300 states/eV per cell



No. 13
## UPa2Pt (PBE)

Data for a geometry-optimized UPa2Pt structure.

a b c (Å): 5.2382 5.2382 3.1446
angles (deg): 90.00 90.00 90.00
Last column: nearest neighbours and their distance in Å.
Space group P4/mmm (No. 123)
Asymmetric unit:
U 0.0000 0.0000 0.0000  8 Pa 3.05, 2 U 3.14
Pa 0.0000 0.5000 0.5000  4 U 3.05, 4 Pt 3.05, 2 Pa 3.14
Pt 0.5000 0.5000 0.0000  8 Pa 3.05, 2 Pt 3.14

- Polymorph energy (0 for the lowest one): 0.0000 eV per atom
- DFT formation energy: -428 meV/atom
- D(E_F): 7.099 states/eV per cell



No. 14
## UPaPt2 (PBE)

Data for a geometry-optimized UPaPt2 structure.

a b c (Å): 4.0711 4.0711 19.9245
angles (deg): 90.00 90.00 120.00
Last column: nearest neighbours and their distance in Å.
Space group R-3m (No. 166, hexagonal axes)
Asymmetric unit:
U 0.0000 0.0000 0.0000  6 Pt 2.87
Pa 0.0000 0.0000 0.5000  6 Pt 2.88
Pt 0.0000 0.0000 0.2503  3 U 2.87, 3 Pa 2.88

- Polymorph energy (0 for the lowest one): 0.0000 eV per atom
- DFT formation energy: -647 meV/atom
- D(E_F): 33.055 states/eV per cell



No. 15
## UPaPt2 (PBE)

Data for a geometry-optimized UPaPt2 structure.

a b c (Å): 4.4437 4.4437 4.1291
angles (deg): 90.00 90.00 90.00
Last column: nearest neighbours and their distance in Å.
Space group P4/mmm (No. 123)
Asymmetric unit:
U 0.0000 0.0000 0.0000  8 Pt 3.03, 4 Pa 3.14
Pa 0.5000 0.5000 0.0000  8 Pt 3.03, 4 U 3.14
Pt 0.0000 0.5000 0.5000  4 Pa 3.03, 4 U 3.03, 4 Pt 3.14

- Polymorph energy (0 for the lowest one): 0.0372 eV per atom
- DFT formation energy: -610 meV/atom
- D(E_F): 7.113 states/eV per cell



No. 16
## UPa2Pt (PBE)

Data for a geometry-optimized UPa2Pt structure.

a b c (Å): 3.0016 3.0016 32.3774
angles (deg): 90.00 90.00 120.00
Last column: nearest neighbours and their distance in Å.
Space group R-3m (No. 166, hexagonal axes)
Asymmetric unit:
U 0.0000 0.0000 0.0000  2 Pa 2.86, 6 U 3.00
Pa 0.0000 0.0000 0.0882  1 U 2.86, 6 Pa 3.00, 3 Pt 3.07
Pt 0.0000 0.0000 0.5000  6 Pt 3.00, 6 Pa 3.07

- Polymorph energy (0 for the lowest one): 0.4158 eV per atom
- DFT formation energy: -12 meV/atom
- D(E_F): 24.351 states/eV per cell



No. 17
## UPa2Pt (PBE)

Data for a geometry-optimized UPa2Pt structure.

a b c (Å): 6.9984 6.9984 6.9984
angles (deg): 90.00 90.00 90.00
Last column: nearest neighbours and their distance in Å.
Space group Fm-3m (No. 225)
Asymmetric unit:
U 0.0000 0.0000 0.0000  8 Pa 3.03
Pa 0.2500 0.2500 0.2500  4 U 3.03, 4 Pt 3.03
Pt 0.0000 0.0000 0.5000  8 Pa 3.03

- Polymorph energy (0 for the lowest one): 0.1611 eV per atom
- DFT formation energy: -266 meV/atom
- D(E_F): 37.436 states/eV per cell



No. 18
## UPaPt2 (PBE)

Data for a geometry-optimized UPaPt2 structure.

a b c (Å): 3.5252 3.5252 6.8969
angles (deg): 90.00 90.00 90.00
Last column: nearest neighbours and their distance in Å.
Space group P4/mmm (No. 123)
Asymmetric unit:
U 0.0000 0.0000 0.0000  8 Pt 3.03
Pa 0.0000 0.0000 0.5000  8 Pt 3.03
Pt 0.5000 0.5000 0.2493  4 U 3.03, 4 Pa 3.03

- Polymorph energy (0 for the lowest one): 0.0441 eV per atom
- DFT formation energy: -603 meV/atom
- D(E_F): 10.068 states/eV per cell



No. 19
## Pa2VPt (PBE)

Data for a geometry-optimized Pa2VPt structure.

a b c (Å): 4.3240 4.3240 4.3552
angles (deg): 90.00 90.00 90.00
Last column: nearest neighbours and their distance in Å.
Space group P4/mmm (No. 123)
Asymmetric unit:
Pa 0.0000 0.5000 0.0000  4 Pa 3.06, 4 Pt 3.07, 4 V 3.07
V 0.0000 0.0000 0.5000  4 Pt 3.06, 8 Pa 3.07
Pt 0.5000 0.5000 0.5000  4 V 3.06, 8 Pa 3.07

- Polymorph energy (0 for the lowest one): 0.0000 eV per atom
- DFT formation energy: -179 meV/atom
- D(E_F): 7.170 states/eV per cell



No. 20
## PaVPt2 (PBE)

Data for a geometry-optimized PaVPt2 structure.

a b c (Å): 3.2356 3.2356 6.8945
angles (deg): 90.00 90.00 90.00
Last column: nearest neighbours and their distance in Å.
Space group P4/mmm (No. 123)
Asymmetric unit:
Pa 0.0000 0.0000 0.0000  8 Pt 3.05, 4 Pa 3.24
V 0.0000 0.0000 0.5000  8 Pt 2.69
Pt 0.5000 0.5000 0.2935  4 V 2.69, 1 Pt 2.85

- Polymorph energy (0 for the lowest one): 0.1031 eV per atom
- DFT formation energy: -535 meV/atom
- D(E_F): 6.930 states/eV per cell